# 1
Zr4Co (PBE-GGA, optimized geometry); formation energy from the elements = 193 meV per atom; density of states at the Fermi level = 6.26 states/eV/cell; crystal system = cubic; E = -0.2965 Ha/atom; energy relative to the lowest polymorph listed for this composition = 288 meV/atom; SG = Pm-3m (221)
1.0
4.853 0.000 0.000
0.000 4.853 0.000
0.000 0.000 4.853
Zr Co
4 1
Direct
0.000 0.000 0.000
0.000 0.500 0.500
0.500 0.000 0.500
0.500 0.500 0.000
0.500 0.500 0.500


# 2
FeIrCl2 (PBE-GGA, optimized geometry); density of states at the Fermi level = 7.32 states/eV/cell; crystal system = orthorhombic; E_form (uncorrected) = 0.593 eV per atom; E = -0.1713 Ha/atom; energy relative to the lowest polymorph listed for this composition = 664 meV/atom; SG = Cmmm (65)
1.0
2.888 0.000 0.000
0.000 5.483 0.000
0.000 0.000 8.194
Fe Ir Cl
2 2 4
Direct
0.000 0.000 0.000
0.500 0.500 0.000
0.000 0.000 0.500
0.500 0.500 0.500
0.000 0.500 0.227
0.000 0.500 0.773
0.500 0.000 0.227
0.500 0.000 0.773


# 3
Hg4Pd (PBE-GGA, optimized geometry); formation energy from the elements = -23 meV per atom; density of states at the Fermi level = 0.91 states/eV/cell; crystal system = cubic; E = -0.0479 Ha/atom; SG = Pm-3m (221)
1.0
5.359 0.000 0.000
0.000 5.359 0.000
0.000 0.000 5.359
Hg Pd
4 1
Direct
0.000 0.000 0.000
0.000 0.500 0.500
0.500 0.000 0.500
0.500 0.500 0.000
0.500 0.500 0.500


# 4
RbLiSnHg3 (PBE-GGA, optimized geometry); formation energy from the elements = -176 meV per atom; density of states at the Fermi level = 4.87 states/eV/cell; crystal system = orthorhombic; E = -0.0542 Ha/atom; SG = Cmcm (63)
1.0
3.641 -6.843 0.000
3.641 6.843 0.000
0.000 0.000 7.224
Rb Li Sn Hg
2 2 2 6
Direct
0.217 0.783 0.750
0.783 0.217 0.250
0.459 0.541 0.750
0.541 0.459 0.250
0.125 0.875 0.250
0.875 0.125 0.750
0.231 0.231 0.000
0.231 0.231 0.500
0.344 0.656 0.250
0.656 0.344 0.750
0.769 0.769 0.000
0.769 0.769 0.500